(1)
This record from Alexandria describes Pm2Pr5Sm12 after structural relaxation. The functional is PBE.

Calculated values
- Energy of formation: 0.164 eV/atom

The structure in CIF format:
```
data_Pm2Pr5Sm12
_cell_length_a 18.7475
_cell_length_b 7.2039
_cell_length_c 10.5749
_cell_angle_alpha 90.00
_cell_angle_beta 111.32
_cell_angle_gamma 90.00
_symmetry_space_group_name_H-M 'C 1 2/m 1'
_symmetry_Int_Tables_number 12
_symmetry_space_group_name_Hall '-C 2y'
loop_
_atom_site_label
_atom_site_fract_x
_atom_site_fract_y
_atom_site_fract_z
Pm1 0.0000 0.2211 0.0000
Pr1 0.0000 0.5000 0.5000
Pr2 0.1770 0.0000 0.2113
Pr3 0.1875 0.5000 0.1830
Sm1 0.0006 0.0000 0.6741
Sm2 0.0264 0.5000 0.2444
Sm3 0.1585 0.2525 0.8667
Sm4 0.1654 0.2475 0.5208
```


(2)
This record from Alexandria describes La2Be4Ge3Rh after structural relaxation. The functional is PBE.

Calculated values
- Energy of formation: -0.490 eV/atom

The structure in CIF format:
```
data_La2Be4Ge3Rh
_cell_length_a 4.0784
_cell_length_b 4.0784
_cell_length_c 9.8816
_cell_angle_alpha 90.00
_cell_angle_beta 90.00
_cell_angle_gamma 90.00
_symmetry_space_group_name_H-M 'P -4 m 2'
_symmetry_Int_Tables_number 115
_symmetry_space_group_name_Hall 'P -4 -2'
loop_
_atom_site_label
_atom_site_fract_x
_atom_site_fract_y
_atom_site_fract_z
La1 0.0000 0.5000 0.2483
Be1 0.0000 0.0000 0.0000
Be2 0.0000 0.5000 0.6216
Be3 0.5000 0.5000 0.0000
Ge1 0.0000 0.5000 0.8705
Ge2 0.5000 0.5000 0.5000
Rh1 0.0000 0.0000 0.5000
```


(3)
This record from Alexandria describes Zn2GaO4 after structural relaxation. The functional is PBE.

Calculated values
- Formation energy (no corrections): -1.264 eV per atom

The structure in CIF format:
```
data_Zn2GaO4
_cell_length_a 4.6156
_cell_length_b 4.6156
_cell_length_c 4.4739
_cell_angle_alpha 90.00
_cell_angle_beta 90.00
_cell_angle_gamma 90.00
_symmetry_space_group_name_H-M 'P -4 2 m'
_symmetry_Int_Tables_number 111
_symmetry_space_group_name_Hall 'P -4 2'
loop_
_atom_site_label
_atom_site_fract_x
_atom_site_fract_y
_atom_site_fract_z
Zn1 0.0000 0.5000 0.0000
Ga1 0.0000 0.0000 0.5000
O1 0.2277 0.2277 0.7543
```


(4)
This record from Alexandria describes PmCuAsP after structural relaxation. The functional is PBE.

Calculated values
- Energy of formation: -0.889 eV/atom

The structure in CIF format:
```
data_PmCuAsP
_cell_length_a 3.8790
_cell_length_b 3.8790
_cell_length_c 10.0112
_cell_angle_alpha 90.00
_cell_angle_beta 90.00
_cell_angle_gamma 90.00
_symmetry_space_group_name_H-M 'P 4/n m m'
_symmetry_Int_Tables_number 129
loop_
_symmetry_equiv_pos_as_xyz
'x,y,z'
'-x,-y,-z'
'-y+1/2,x,z'
'y+1/2,-x,-z'
'-x+1/2,-y+1/2,z'
'x+1/2,y+1/2,-z'
'y,-x+1/2,z'
'-y,x+1/2,-z'
'x+1/2,-y,-z'
'-x+1/2,y,z'
'-y,-x,-z'
'y,x,z'
'-x,y+1/2,-z'
'x,-y+1/2,z'
'y+1/2,x+1/2,-z'
'-y+1/2,-x+1/2,z'
loop_
_atom_site_label
_atom_site_fract_x
_atom_site_fract_y
_atom_site_fract_z
Pm1 0.2500 0.2500 0.2436
Cu1 0.2500 0.7500 0.5000
As1 0.2500 0.7500 0.0000
P1 0.2500 0.2500 0.6446
```


(5)
This record from Alexandria describes Ba3Mg2In2Hg4 after structural relaxation. The functional is PBE.

Calculated values
- Energy of formation: -0.359 eV/atom

The structure in CIF format:
```
data_Ba3Mg2In2Hg4
_cell_length_a 5.2061
_cell_length_b 5.2061
_cell_length_c 15.3763
_cell_angle_alpha 90.00
_cell_angle_beta 90.00
_cell_angle_gamma 120.00
_symmetry_space_group_name_H-M 'P -3 m 1'
_symmetry_Int_Tables_number 164
_symmetry_space_group_name_Hall '-P 3 2"'
loop_
_atom_site_label
_atom_site_fract_x
_atom_site_fract_y
_atom_site_fract_z
Ba1 0.0000 0.0000 0.0000
Ba2 0.0000 0.0000 0.2775
Mg1 0.3333 0.6667 0.5650
In1 0.3333 0.6667 0.1447
Hg1 0.3333 0.6667 0.3835
Hg2 0.3333 0.6667 0.8657
```


(6)
This record from Alexandria describes Li3Np4US8 after structural relaxation. The functional is PBE.

Calculated values
- Formation energy (no corrections): -1.367 eV per atom

The structure in CIF format:
```
data_Li3Np4US8
_cell_length_a 7.8165
_cell_length_b 7.8165
_cell_length_c 18.7327
_cell_angle_alpha 90.00
_cell_angle_beta 90.00
_cell_angle_gamma 120.00
_symmetry_space_group_name_H-M 'R -3 m'
_symmetry_Int_Tables_number 166
_symmetry_space_group_name_Hall '-R 3 2"'
loop_
_atom_site_label
_atom_site_fract_x
_atom_site_fract_y
_atom_site_fract_z
Li1 0.0000 0.5000 0.0000
Np1 0.0000 0.0000 0.5000
Np2 0.0000 0.5000 0.5000
U1 0.0000 0.0000 0.0000
S1 0.0000 0.0000 0.2512
S2 0.0036 0.5018 0.2522
```


(7)
This record from Alexandria describes MnCr2Tc after structural relaxation. The functional is PBE.

Calculated values
- Energy of formation: 0.071 eV/atom

The structure in CIF format:
```
data_MnCr2Tc
_cell_length_a 2.9857
_cell_length_b 4.0907
_cell_length_c 4.1922
_cell_angle_alpha 90.00
_cell_angle_beta 90.00
_cell_angle_gamma 90.00
_symmetry_space_group_name_H-M 'P m m m'
_symmetry_Int_Tables_number 47
_symmetry_space_group_name_Hall '-P 2 2'
loop_
_atom_site_label
_atom_site_fract_x
_atom_site_fract_y
_atom_site_fract_z
Mn1 0.0000 0.0000 0.0000
Cr1 0.0000 0.5000 0.5000
Cr2 0.5000 0.5000 0.0000
Tc1 0.5000 0.0000 0.5000
```


(8)
This record from Alexandria describes USn2Au after structural relaxation. The functional is PBE.

Calculated values
- Energy of formation: -0.167 eV/atom

The structure in CIF format:
```
data_USn2Au
_cell_length_a 4.6604
_cell_length_b 4.6604
_cell_length_c 4.3081
_cell_angle_alpha 90.00
_cell_angle_beta 90.00
_cell_angle_gamma 90.00
_symmetry_space_group_name_H-M 'P 4/m m m'
_symmetry_Int_Tables_number 123
_symmetry_space_group_name_Hall '-P 4 2'
loop_
_atom_site_label
_atom_site_fract_x
_atom_site_fract_y
_atom_site_fract_z
U1 0.0000 0.0000 0.0000
Sn1 0.0000 0.5000 0.5000
Au1 0.5000 0.5000 0.0000
```


(9)
This record from Alexandria describes RbNbGe2Cl after structural relaxation. The functional is PBE.

Calculated values
- Formation energy (no corrections): 1.839 eV per atom

The structure in CIF format:
```
data_RbNbGe2Cl
_cell_length_a 5.4873
_cell_length_b 5.4873
_cell_length_c 5.2976
_cell_angle_alpha 90.00
_cell_angle_beta 90.00
_cell_angle_gamma 90.00
_symmetry_space_group_name_H-M 'P 4/m m m'
_symmetry_Int_Tables_number 123
_symmetry_space_group_name_Hall '-P 4 2'
loop_
_atom_site_label
_atom_site_fract_x
_atom_site_fract_y
_atom_site_fract_z
Rb1 0.0000 0.0000 0.0000
Nb1 0.5000 0.5000 0.5000
Ge1 0.0000 0.5000 0.0000
Cl1 0.0000 0.0000 0.5000
```


(10)
This record from Alexandria describes Sr2Al4Ga3Sn after structural relaxation. The functional is PBE.

Calculated values
- Energy of formation: -0.309 eV/atom

The structure in CIF format:
```
data_Sr2Al4Ga3Sn
_cell_length_a 4.5708
_cell_length_b 4.5708
_cell_length_c 10.9916
_cell_angle_alpha 90.00
_cell_angle_beta 90.00
_cell_angle_gamma 90.00
_symmetry_space_group_name_H-M 'P -4 m 2'
_symmetry_Int_Tables_number 115
_symmetry_space_group_name_Hall 'P -4 -2'
loop_
_atom_site_label
_atom_site_fract_x
_atom_site_fract_y
_atom_site_fract_z
Sr1 0.0000 0.5000 0.2449
Al1 0.0000 0.0000 0.0000
Al2 0.0000 0.5000 0.6392
Al3 0.5000 0.5000 0.0000
Ga1 0.0000 0.5000 0.8719
Ga2 0.5000 0.5000 0.5000
Sn1 0.0000 0.0000 0.5000
```


(11)
This record from Alexandria describes Al2GeI after structural relaxation. The functional is PBE.

Calculated values
- Formation energy (no corrections): 0.226 eV per atom

The structure in CIF format:
```
data_Al2GeI
_cell_length_a 6.5135
_cell_length_b 6.5135
_cell_length_c 11.5666
_cell_angle_alpha 90.00
_cell_angle_beta 90.00
_cell_angle_gamma 90.00
_symmetry_space_group_name_H-M 'I -4 2 d'
_symmetry_Int_Tables_number 122
_symmetry_space_group_name_Hall 'I -4 2bw'
loop_
_atom_site_label
_atom_site_fract_x
_atom_site_fract_y
_atom_site_fract_z
Al1 0.1799 0.2500 0.1250
Ge1 0.0000 0.0000 0.0000
I1 0.0000 0.0000 0.5000
```


(12)
This record from Alexandria describes GaHPd3 after structural relaxation. The functional is PBE.

Calculated values
- Total DFT energy (no corrections): -46.6 eV per cell

The structure in CIF format:
```
data_GaHPd3
_cell_length_a 4.3737
_cell_length_b 4.3737
_cell_length_c 7.7748
_cell_angle_alpha 90.00
_cell_angle_beta 90.00
_cell_angle_gamma 120.00
_symmetry_space_group_name_H-M 'P 63/m m c'
_symmetry_Int_Tables_number 194
_symmetry_space_group_name_Hall '-P 6c 2c'
loop_
_atom_site_label
_atom_site_fract_x
_atom_site_fract_y
_atom_site_fract_z
Ga1 0.3333 0.6667 0.2500
H1 0.0000 0.0000 0.0000
Pd1 0.0000 0.0000 0.2500
Pd2 0.3333 0.6667 0.5717
```


(13)
This record from Alexandria describes RbNa2GeMo after structural relaxation. The functional is PBE.

Calculated values
- Energy of formation: 0.560 eV/atom

The structure in CIF format:
```
data_RbNa2GeMo
_cell_length_a 5.8159
_cell_length_b 5.8159
_cell_length_c 5.0527
_cell_angle_alpha 90.00
_cell_angle_beta 90.00
_cell_angle_gamma 90.00
_symmetry_space_group_name_H-M 'P 4/m m m'
_symmetry_Int_Tables_number 123
_symmetry_space_group_name_Hall '-P 4 2'
loop_
_atom_site_label
_atom_site_fract_x
_atom_site_fract_y
_atom_site_fract_z
Rb1 0.0000 0.0000 0.0000
Na1 0.0000 0.5000 0.5000
Ge1 0.5000 0.5000 0.5000
Mo1 0.5000 0.5000 0.0000
```


(14)
This record from Alexandria describes AlGaBi2 after structural relaxation. The functional is PBE.

Calculated values
- Energy of formation: 0.267 eV/atom

The structure in CIF format:
```
data_AlGaBi2
_cell_length_a 3.4898
_cell_length_b 3.4898
_cell_length_c 32.5976
_cell_angle_alpha 90.00
_cell_angle_beta 90.00
_cell_angle_gamma 120.00
_symmetry_space_group_name_H-M 'R -3 m'
_symmetry_Int_Tables_number 166
_symmetry_space_group_name_Hall '-R 3 2"'
loop_
_atom_site_label
_atom_site_fract_x
_atom_site_fract_y
_atom_site_fract_z
Al1 0.0000 0.0000 0.0000
Ga1 0.0000 0.0000 0.5000
Bi1 0.0000 0.0000 0.4017
```


(15)
This record from Alexandria describes YOs2Au after structural relaxation. The functional is PBE.

Calculated values
- Energy of formation: 0.069 eV/atom

The structure in CIF format:
```
data_YOs2Au
_cell_length_a 2.9066
_cell_length_b 3.7524
_cell_length_c 6.8133
_cell_angle_alpha 90.00
_cell_angle_beta 90.00
_cell_angle_gamma 90.00
_symmetry_space_group_name_H-M 'P m m 2'
_symmetry_Int_Tables_number 25
_symmetry_space_group_name_Hall 'P 2 -2'
loop_
_atom_site_label
_atom_site_fract_x
_atom_site_fract_y
_atom_site_fract_z
Y1 0.0000 0.0000 0.0000
Os1 0.0000 0.0000 0.5500
Os2 0.5000 0.5000 0.6988
Au1 0.5000 0.5000 0.2837
```


(16)
This record from Alexandria describes TaMo2As after structural relaxation. The functional is PBE.

Calculated values
- Energy of formation: 0.156 eV/atom

The structure in CIF format:
```
data_TaMo2As
_cell_length_a 3.1524
_cell_length_b 3.1524
_cell_length_c 23.7145
_cell_angle_alpha 90.00
_cell_angle_beta 90.00
_cell_angle_gamma 120.00
_symmetry_space_group_name_H-M 'R -3 m'
_symmetry_Int_Tables_number 166
_symmetry_space_group_name_Hall '-R 3 2"'
loop_
_atom_site_label
_atom_site_fract_x
_atom_site_fract_y
_atom_site_fract_z
Ta1 0.0000 0.0000 0.0000
Mo1 0.0000 0.0000 0.2459
As1 0.0000 0.0000 0.5000
```


(17)
This record from Alexandria describes InAgSn after structural relaxation. The functional is PBE.

Calculated values
- Energy of formation: 0.031 eV/atom

The structure in CIF format:
```
data_InAgSn
_cell_length_a 3.1113
_cell_length_b 6.8198
_cell_length_c 6.7945
_cell_angle_alpha 90.00
_cell_angle_beta 90.00
_cell_angle_gamma 90.00
_symmetry_space_group_name_H-M 'P m c 21'
_symmetry_Int_Tables_number 26
_symmetry_space_group_name_Hall 'P 2c -2'
loop_
_atom_site_label
_atom_site_fract_x
_atom_site_fract_y
_atom_site_fract_z
In1 0.0000 0.1045 0.0000
Ag1 0.5000 0.2336 0.6480
Sn1 0.0000 0.4203 0.3106
```


(18)
This record from Alexandria describes Sc3InTc after structural relaxation. The functional is PBE.

Calculated values
- Energy of formation: 0.054 eV/atom

The structure in CIF format:
```
data_Sc3InTc
_cell_length_a 5.0120
_cell_length_b 5.0120
_cell_length_c 5.0120
_cell_angle_alpha 90.00
_cell_angle_beta 90.00
_cell_angle_gamma 90.00
_symmetry_space_group_name_H-M 'P m -3 m'
_symmetry_Int_Tables_number 221
_symmetry_space_group_name_Hall '-P 4 2 3'
loop_
_atom_site_label
_atom_site_fract_x
_atom_site_fract_y
_atom_site_fract_z
Sc1 0.0000 0.0000 0.5000
In1 0.5000 0.5000 0.5000
Tc1 0.0000 0.0000 0.0000
```


(19)
This record from Alexandria describes Fe2HgSb after structural relaxation. The functional is PBE.

Calculated values
- Formation energy (no corrections): 0.367 eV per atom

The structure in CIF format:
```
data_Fe2HgSb
_cell_length_a 3.1325
_cell_length_b 3.1325
_cell_length_c 26.8540
_cell_angle_alpha 90.00
_cell_angle_beta 90.00
_cell_angle_gamma 120.00
_symmetry_space_group_name_H-M 'R 3 m'
_symmetry_Int_Tables_number 160
_symmetry_space_group_name_Hall 'R 3 -2"'
loop_
_atom_site_label
_atom_site_fract_x
_atom_site_fract_y
_atom_site_fract_z
Fe1 0.0000 0.0000 0.0000
Fe2 0.0000 0.0000 0.2736
Hg1 0.0000 0.0000 0.7491
Sb1 0.0000 0.0000 0.5329
```


(20)
This record from Alexandria describes KPb3N after structural relaxation. The functional is PBE.

Calculated values
- Formation energy (no corrections): 0.468 eV per atom

The structure in CIF format:
```
data_KPb3N
_cell_length_a 5.2384
_cell_length_b 5.2384
_cell_length_c 5.2384
_cell_angle_alpha 90.00
_cell_angle_beta 90.00
_cell_angle_gamma 90.00
_symmetry_space_group_name_H-M 'P m -3 m'
_symmetry_Int_Tables_number 221
_symmetry_space_group_name_Hall '-P 4 2 3'
loop_
_atom_site_label
_atom_site_fract_x
_atom_site_fract_y
_atom_site_fract_z
K1 0.0000 0.0000 0.0000
Pb1 0.0000 0.5000 0.5000
N1 0.5000 0.5000 0.5000
```